Material: HfZrAs2Se
Method: DFT, GGA-PBE
State: relaxed

```
data_HfZrAs2Se
_chemical_formula_sum 'Hf1 Zr1 As2 Se1'
_cell_length_a 5.086
_cell_length_b 5.086
_cell_length_c 4.994
_cell_angle_alpha 90.00
_cell_angle_beta 90.00
_cell_angle_gamma 90.00
_space_group_name_H-M_alt 'P 1'
_space_group_IT_number 1
_space_group_name_Hall 'P 1'
loop_
_atom_site_label
_atom_site_fract_x
_atom_site_fract_y
_atom_site_fract_z
_atom_site_occupancy
As1 0.000 0.500 0.000 1
As2 0.500 0.000 0.000 1
Hf1 0.000 0.000 0.000 1
Se1 0.000 0.000 0.500 1
Zr1 0.500 0.500 0.500 1
```

## Properties
- polymorph energy (0 for the lowest one) (meV per atom) = 0.0
- Fermi-level density of states (states/eV/f.u.) = 3.4
- theoretical density (Mg/m³) = 6.41
- magnetic moment (μB/f.u.) = 0.000
- raw formation energy (eV/atom) = 0.058


Material: LaBe2Sb
Method: DFT, GGA-PBE
State: relaxed

```
data_LaBe2Sb
_chemical_formula_sum 'La1 Be2 Sb1'
_cell_length_a 3.498
_cell_length_b 3.543
_cell_length_c 6.506
_cell_angle_alpha 90.00
_cell_angle_beta 90.00
_cell_angle_gamma 90.00
_space_group_name_H-M_alt 'P 1'
_space_group_IT_number 1
_space_group_name_Hall 'P 1'
loop_
_atom_site_label
_atom_site_fract_x
_atom_site_fract_y
_atom_site_fract_z
_atom_site_occupancy
Sb1 0.500 0.500 0.750 1
Be1 0.000 0.000 0.923 1
Be2 0.000 0.000 0.577 1
La1 0.500 0.500 0.250 1
```

## Properties
- polymorph energy (0 for the lowest one) (meV per atom) = 394.9
- Fermi-level density of states (states/eV/f.u.) = 2.0
- theoretical density (Mg/m³) = 5.74
- magnetic moment (μB/f.u.) = 0.001
- raw formation energy (eV/atom) = 0.167


Material: CaHgPb
Method: DFT, GGA-PBE
State: relaxed

```
data_CaHgPb
_chemical_formula_sum 'Ca2 Hg2 Pb2'
_cell_length_a 6.792
_cell_length_b 5.562
_cell_length_c 5.562
_cell_angle_alpha 125.46
_cell_angle_beta 98.32
_cell_angle_gamma 81.68
_space_group_name_H-M_alt 'P 1'
_space_group_IT_number 1
_space_group_name_Hall 'P 1'
loop_
_atom_site_label
_atom_site_fract_x
_atom_site_fract_y
_atom_site_fract_z
_atom_site_occupancy
Pb1 0.631 0.054 0.911 1
Pb2 0.131 0.054 0.910 1
Ca1 0.425 0.390 0.575 1
Ca2 0.837 0.718 0.246 1
Hg1 0.332 0.718 0.247 1
Hg2 0.929 0.391 0.574 1
```

## Properties
- DFT formation energy (eV per atom) = -0.429
- Fermi-level density of states (states/eV/f.u.) = 1.3
- theoretical density (Mg/m³) = 8.81
- magnetic moment (μB/f.u.) = 0.000


Material: Fe2PtCl
Method: DFT, GGA-PBE
State: relaxed

```
data_Fe2PtCl
_chemical_formula_sum 'Fe2 Pt1 Cl1'
_cell_length_a 4.648
_cell_length_b 2.799
_cell_length_c 4.648
_cell_angle_alpha 90.00
_cell_angle_beta 90.00
_cell_angle_gamma 90.00
_space_group_name_H-M_alt 'P 1'
_space_group_IT_number 1
_space_group_name_Hall 'P 1'
loop_
_atom_site_label
_atom_site_fract_x
_atom_site_fract_y
_atom_site_fract_z
_atom_site_occupancy
Fe1 0.000 0.000 0.875 1
Fe2 0.500 0.000 0.375 1
Pt1 0.000 0.500 0.375 1
Cl1 0.500 0.000 0.875 1
```

## Properties
- polymorph energy (0 for the lowest one) (meV per atom) = 212.6
- Fermi-level density of states (states/eV/f.u.) = 3.9
- theoretical density (Mg/m³) = 9.40
- magnetic moment (μB/f.u.) = 6.252
- raw formation energy (eV/atom) = 0.155


Material: Ac6La2Y5
Method: DFT, GGA-PBE
State: relaxed

```
data_Ac6La2Y5
_chemical_formula_sum 'Ac12 La4 Y10'
_cell_length_a 3.780
_cell_length_b 11.586
_cell_length_c 23.465
_cell_angle_alpha 90.00
_cell_angle_beta 90.00
_cell_angle_gamma 90.00
_space_group_name_H-M_alt 'P 1'
_space_group_IT_number 1
_space_group_name_Hall 'P 1'
loop_
_atom_site_label
_atom_site_fract_x
_atom_site_fract_y
_atom_site_fract_z
_atom_site_occupancy
Ac1 0.000 0.142 0.385 1
Ac2 0.000 0.858 0.615 1
Ac3 0.000 0.642 0.115 1
Ac4 0.000 0.358 0.885 1
Ac5 0.500 0.335 0.130 1
Ac6 0.500 0.665 0.870 1
Ac7 0.500 0.835 0.370 1
Ac8 0.500 0.165 0.630 1
Ac9 0.000 0.530 0.391 1
Ac10 0.000 0.470 0.609 1
Ac11 0.000 0.030 0.109 1
Ac12 0.000 0.970 0.891 1
La1 0.000 0.342 0.273 1
La2 0.000 0.658 0.727 1
La3 0.000 0.842 0.227 1
La4 0.000 0.158 0.773 1
Y1 0.500 0.331 0.491 1
Y2 0.500 0.669 0.509 1
Y3 0.500 0.831 0.009 1
Y4 0.500 0.169 0.991 1
Y5 0.500 0.593 0.253 1
Y6 0.500 0.407 0.747 1
Y7 0.500 0.093 0.247 1
Y8 0.500 0.907 0.753 1
Y9 0.500 0.500 0.000 1
Y10 0.500 0.000 0.500 1
```

## Properties
- DFT formation energy (eV per atom) = 0.169
- Fermi-level density of states (states/eV/f.u.) = 21.1
- theoretical density (Mg/m³) = 6.74
- magnetic moment (μB/f.u.) = 0.000


Material: BaSi2Ni
Method: DFT, GGA-PBE
State: relaxed

```
data_BaSi2Ni
_chemical_formula_sum 'Ba1 Si2 Ni1'
_cell_length_a 3.973
_cell_length_b 3.973
_cell_length_c 6.535
_cell_angle_alpha 72.27
_cell_angle_beta 72.27
_cell_angle_gamma 60.02
_space_group_name_H-M_alt 'P 1'
_space_group_IT_number 1
_space_group_name_Hall 'P 1'
loop_
_atom_site_label
_atom_site_fract_x
_atom_site_fract_y
_atom_site_fract_z
_atom_site_occupancy
Ni1 0.250 0.250 0.250 1
Si1 0.952 0.952 0.144 1
Si2 0.548 0.548 0.356 1
Ba1 0.750 0.750 0.750 1
```

## Properties
- Fermi-level density of states (states/eV/f.u.) = 1.9
- theoretical density (Mg/m³) = 5.01
- magnetic moment (μB/f.u.) = 0.000
- raw formation energy (eV/atom) = -0.485


Material: BaTlInPb
Method: DFT, GGA-PBE
State: relaxed

```
data_BaTlInPb
_chemical_formula_sum 'Ba1 Tl1 In1 Pb1'
_cell_length_a 5.765
_cell_length_b 5.765
_cell_length_c 5.765
_cell_angle_alpha 60.00
_cell_angle_beta 60.00
_cell_angle_gamma 60.00
_space_group_name_H-M_alt 'P 1'
_space_group_IT_number 1
_space_group_name_Hall 'P 1'
loop_
_atom_site_label
_atom_site_fract_x
_atom_site_fract_y
_atom_site_fract_z
_atom_site_occupancy
Pb1 0.750 0.750 0.750 1
Tl1 0.000 0.000 0.000 1
Ba1 0.250 0.250 0.250 1
In1 0.500 0.500 0.500 1
```

## Properties
- DFT formation energy (eV per atom) = -0.295
- Fermi-level density of states (states/eV/f.u.) = 1.8
- theoretical density (Mg/m³) = 8.13
- magnetic moment (μB/f.u.) = 0.000


Material: K4Rb6Hg
Method: DFT, GGA-PBE
State: relaxed

```
data_K4Rb6Hg
_chemical_formula_sum 'K8 Rb12 Hg2'
_cell_length_a 11.613
_cell_length_b 11.613
_cell_length_c 12.360
_cell_angle_alpha 90.00
_cell_angle_beta 90.00
_cell_angle_gamma 90.00
_space_group_name_H-M_alt 'P 1'
_space_group_IT_number 1
_space_group_name_Hall 'P 1'
loop_
_atom_site_label
_atom_site_fract_x
_atom_site_fract_y
_atom_site_fract_z
_atom_site_occupancy
K1 0.365 0.135 0.250 1
K2 0.135 0.635 0.750 1
K3 0.635 0.865 0.750 1
K4 0.865 0.365 0.750 1
K5 0.365 0.135 0.750 1
K6 0.135 0.635 0.250 1
K7 0.865 0.365 0.250 1
K8 0.635 0.865 0.250 1
Rb1 0.304 0.860 0.500 1
Rb2 0.804 0.640 0.000 1
Rb3 0.640 0.196 0.000 1
Rb4 0.140 0.304 0.500 1
Rb5 0.000 0.000 0.195 1
Rb6 0.500 0.500 0.305 1
Rb7 0.360 0.804 0.000 1
Rb8 0.000 0.000 0.805 1
Rb9 0.196 0.360 0.000 1
Rb10 0.500 0.500 0.695 1
Rb11 0.860 0.696 0.500 1
Rb12 0.696 0.140 0.500 1
Hg1 0.500 0.500 0.000 1
Hg2 0.000 0.000 0.500 1
```

## Properties
- DFT formation energy (eV per atom) = -0.011
- Fermi-level density of states (states/eV/f.u.) = 8.6
- theoretical density (Mg/m³) = 1.73
- magnetic moment (μB/f.u.) = 0.000


Material: AcTb5Ho6
Method: DFT, GGA-PBE
State: relaxed

```
data_AcTb5Ho6
_chemical_formula_sum 'Ac1 Tb5 Ho6'
_cell_length_a 6.186
_cell_length_b 7.996
_cell_length_c 7.996
_cell_angle_alpha 84.34
_cell_angle_beta 97.50
_cell_angle_gamma 97.50
_space_group_name_H-M_alt 'P 1'
_space_group_IT_number 1
_space_group_name_Hall 'P 1'
loop_
_atom_site_label
_atom_site_fract_x
_atom_site_fract_y
_atom_site_fract_z
_atom_site_occupancy
Ac1 0.000 0.000 0.000 1
Tb1 0.500 0.829 0.171 1
Tb2 0.000 0.664 0.336 1
Tb3 0.500 0.500 0.500 1
Tb4 0.000 0.336 0.664 1
Tb5 0.500 0.171 0.829 1
Ho1 0.750 0.916 0.580 1
Ho2 0.250 0.420 0.084 1
Ho3 0.254 0.748 0.748 1
Ho4 0.746 0.252 0.252 1
Ho5 0.750 0.580 0.916 1
Ho6 0.250 0.084 0.420 1
```

## Properties
- DFT formation energy (eV per atom) = 0.033
- Fermi-level density of states (states/eV/f.u.) = 17.2
- theoretical density (Mg/m³) = 8.62
- magnetic moment (μB/f.u.) = 0.000


Material: TmAl11Fe
Method: DFT, GGA-PBE
State: relaxed

```
data_TmAl11Fe
_chemical_formula_sum 'Tm1 Al11 Fe1'
_cell_length_a 5.135
_cell_length_b 7.077
_cell_length_c 6.775
_cell_angle_alpha 82.84
_cell_angle_beta 67.73
_cell_angle_gamma 70.80
_space_group_name_H-M_alt 'P 1'
_space_group_IT_number 1
_space_group_name_Hall 'P 1'
loop_
_atom_site_label
_atom_site_fract_x
_atom_site_fract_y
_atom_site_fract_z
_atom_site_occupancy
Tm1 0.000 0.000 0.000 1
Al1 0.287 0.228 0.213 1
Al2 0.713 0.772 0.787 1
Al3 0.500 0.772 0.213 1
Al4 0.500 0.228 0.787 1
Al5 0.364 0.638 0.657 1
Al6 0.636 0.362 0.343 1
Al7 0.979 0.362 0.657 1
Al8 0.021 0.638 0.343 1
Al9 0.000 0.500 0.000 1
Al10 0.500 0.000 0.500 1
Al11 0.000 0.000 0.500 1
Fe1 0.500 0.500 0.000 1
```

## Properties
- DFT formation energy (eV per atom) = -0.170
- Fermi-level density of states (states/eV/f.u.) = 5.5
- theoretical density (Mg/m³) = 4.03
- magnetic moment (μB/f.u.) = 0.000


Material: Pr12Ru3Rh5
Method: DFT, GGA-PBE
State: relaxed

```
data_Pr12Ru3Rh5
_chemical_formula_sum 'Pr48 Ru12 Rh20'
_cell_length_a 14.615
_cell_length_b 14.615
_cell_length_c 14.615
_cell_angle_alpha 109.47
_cell_angle_beta 109.47
_cell_angle_gamma 109.47
_space_group_name_H-M_alt 'P 1'
_space_group_IT_number 1
_space_group_name_Hall 'P 1'
loop_
_atom_site_label
_atom_site_fract_x
_atom_site_fract_y
_atom_site_fract_z
_atom_site_occupancy
Ru1 0.750 0.375 0.125 1
Ru2 0.875 0.750 0.125 1
Ru3 0.375 0.750 0.625 1
Ru4 0.250 0.125 0.375 1
Ru5 0.875 0.125 0.250 1
Ru6 0.375 0.625 0.250 1
Ru7 0.625 0.375 0.750 1
Ru8 0.125 0.875 0.750 1
Ru9 0.750 0.875 0.625 1
Ru10 0.625 0.250 0.375 1
Ru11 0.125 0.250 0.875 1
Ru12 0.250 0.625 0.875 1
Rh1 0.125 0.375 0.250 1
Rh2 0.000 0.500 0.000 1
Rh3 0.000 0.000 0.000 1
Rh4 0.375 0.250 0.125 1
Rh5 0.500 0.000 0.500 1
Rh6 0.500 0.500 0.000 1
Rh7 0.125 0.750 0.375 1
Rh8 0.750 0.125 0.875 1
Rh9 0.750 0.625 0.375 1
Rh10 0.375 0.125 0.750 1
Rh11 0.625 0.875 0.250 1
Rh12 0.500 0.500 0.500 1
Rh13 0.500 0.000 0.000 1
Rh14 0.000 0.000 0.500 1
Rh15 0.250 0.375 0.625 1
Rh16 0.250 0.875 0.125 1
Rh17 0.000 0.500 0.500 1
Rh18 0.875 0.250 0.625 1
Rh19 0.625 0.750 0.875 1
Rh20 0.875 0.625 0.750 1
Pr1 0.721 0.129 0.047 1
Pr2 0.326 0.547 0.418 1
Pr3 0.953 0.371 0.279 1
Pr4 0.547 0.221 0.129 1
Pr5 0.592 0.721 0.674 1
Pr6 0.953 0.582 0.174 1
Pr7 0.326 0.779 0.408 1
Pr8 0.082 0.908 0.129 1
Pr9 0.582 0.953 0.674 1
Pr10 0.721 0.592 0.174 1
Pr11 0.779 0.453 0.371 1
Pr12 0.826 0.918 0.047 1
Pr13 0.129 0.721 0.547 1
Pr14 0.371 0.418 0.092 1
Pr15 0.092 0.918 0.371 1
Pr16 0.408 0.129 0.582 1
Pr17 0.092 0.174 0.221 1
Pr18 0.453 0.674 0.082 1
Pr19 0.826 0.908 0.279 1
Pr20 0.129 0.408 0.082 1
Pr21 0.371 0.953 0.779 1
Pr22 0.582 0.629 0.408 1
Pr23 0.918 0.826 0.547 1
Pr24 0.779 0.326 0.908 1
Pr25 0.418 0.371 0.592 1
Pr26 0.082 0.174 0.453 1
Pr27 0.221 0.674 0.092 1
Pr28 0.174 0.092 0.721 1
Pr29 0.629 0.047 0.221 1
Pr30 0.871 0.592 0.918 1
Pr31 0.547 0.326 0.918 1
Pr32 0.592 0.871 0.418 1
Pr33 0.908 0.826 0.779 1
Pr34 0.908 0.082 0.629 1
Pr35 0.871 0.279 0.453 1
Pr36 0.174 0.082 0.953 1
Pr37 0.629 0.582 0.908 1
Pr38 0.418 0.047 0.326 1
Pr39 0.279 0.408 0.826 1
Pr40 0.221 0.547 0.629 1
Pr41 0.918 0.092 0.871 1
Pr42 0.674 0.221 0.592 1
Pr43 0.453 0.779 0.871 1
Pr44 0.047 0.418 0.826 1
Pr45 0.408 0.279 0.326 1
Pr46 0.047 0.629 0.721 1
Pr47 0.674 0.453 0.582 1
Pr48 0.279 0.871 0.953 1
```

## Properties
- DFT formation energy (eV per atom) = -0.048
- Fermi-level density of states (states/eV/f.u.) = 15.7
- theoretical density (Mg/m³) = 6.93
- magnetic moment (μB/f.u.) = 0.000


Material: Er3N
Method: DFT, GGA-PBE
State: relaxed

```
data_Er3N
_chemical_formula_sum 'Er3 N1'
_cell_length_a 3.249
_cell_length_b 5.856
_cell_length_c 5.894
_cell_angle_alpha 119.79
_cell_angle_beta 106.00
_cell_angle_gamma 90.00
_space_group_name_H-M_alt 'P 1'
_space_group_IT_number 1
_space_group_name_Hall 'P 1'
loop_
_atom_site_label
_atom_site_fract_x
_atom_site_fract_y
_atom_site_fract_z
_atom_site_occupancy
N1 0.000 0.067 0.000 1
Er1 0.334 0.711 0.667 1
Er2 0.500 0.346 0.000 1
Er3 0.666 0.044 0.333 1
```

## Properties
- polymorph energy (0 for the lowest one) (meV per atom) = 9.7
- Fermi-level density of states (states/eV/f.u.) = 4.9
- theoretical density (Mg/m³) = 9.28
- magnetic moment (μB/f.u.) = 0.001
- raw formation energy (eV/atom) = -0.505